Entry 1:
## AlReOs2O (GGA-PBE)

Data for a relaxed AlReOs2O crystal.

Values from the calculation:
- Raw formation energy: 98.7 kJ/mol of atoms

Cell: 4.790 4.790 3.206 Å, 90.00 90.00 90.00°
Space group P4/mmm (No. 123)
Unique sites:
Al: 0.000 0.000 0.000
Re: 0.500 0.500 0.500
Os: 0.000 0.500 0.000
O: 0.000 0.000 0.500


Entry 2:
## BeTeAs2 (GGA-PBE)

Data for a relaxed BeTeAs2 crystal.

Values from the calculation:
- Raw formation energy: 17.2 kJ/mol of atoms
- Excess energy over the best structure of this formula in the dataset: 11.9 kJ per mole of atoms

Cell: 5.832 5.832 11.373 Å, 90.00 90.00 90.00°
Space group I-42d (No. 122)
Unique sites:
Be: 0.000 0.000 0.000
Te: 0.000 0.000 0.500
As: 0.158 0.250 0.125


Entry 3:
## MgSc2Nb (GGA-PBE)

Data for a relaxed MgSc2Nb crystal.

Values from the calculation:
- Formation energy from the elements: 0.576 eV per atom
- Excess energy over the best structure of this formula in the dataset: 53.1 kJ per mole of atoms

Cell: 4.195 4.195 20.251 Å, 90.00 90.00 90.00°
Space group I-42d (No. 122)
Unique sites:
Mg: 0.000 0.000 0.000
Sc: 0.238 0.250 0.625
Nb: 0.000 0.000 0.500


Entry 4:
## Er4BiN (GGA-PBE)

Data for a relaxed Er4BiN crystal.

Values from the calculation:
- Raw formation energy: -72.3 kJ/mol of atoms

Cell: 14.799 5.868 7.056 Å, 90.00 106.43 90.00°
Space group C2/c (No. 15)
Unique sites:
Er: 0.106 0.069 0.438
Er: 0.197 0.446 0.183
Bi: 0.000 0.399 0.750
N: 0.250 0.250 0.500


Entry 5:
## RbCeS4 (GGA-PBE)

Data for a relaxed RbCeS4 crystal.

Values from the calculation:
- Raw formation energy: -113.0 kJ/mol of atoms

Cell: 6.091 6.091 8.372 Å, 90.00 90.00 90.00°
Space group P4/nbm (No. 125, origin choice 2)
Unique sites:
Rb: 0.250 0.250 0.000
Ce: 0.250 0.250 0.500
S: 0.126 0.626 0.301


Entry 6:
## PrCoHg (GGA-PBE)

Data for a relaxed PrCoHg crystal.

Values from the calculation:
- Formation energy from the elements: -0.261 eV per atom

Cell: 4.121 16.770 3.957 Å, 90.00 90.00 90.00°
Space group Cmcm (No. 63)
Unique sites:
Pr: 0.000 0.098 0.250
Co: 0.000 0.468 0.250
Hg: 0.000 0.299 0.250


Entry 7:
## ScNbNi2Sn2 (GGA-PBE)

Data for a relaxed ScNbNi2Sn2 crystal.

Values from the calculation:
- Formation energy from the elements: -0.532 eV per atom

Cell: 4.2864 4.2864 21.0962 Å, 90.00 90.00 120.00°
Space group R3m (No. 160, hexagonal axes)
Unique sites:
Sc: 0.0000 0.0000 0.0000
Nb: 0.0000 0.0000 0.4980
Ni: 0.0000 0.0000 0.3783
Ni: 0.0000 0.0000 0.8708
Sn: 0.0000 0.0000 0.2494
Sn: 0.0000 0.0000 0.7494


Entry 8:
## LiAgBi (GGA-PBE)

Data for a relaxed LiAgBi crystal.

Values from the calculation:
- Formation energy from the elements: -0.182 eV per atom
- Excess energy over the best structure of this formula in the dataset: 4.8 kJ per mole of atoms

Cell: 6.621 6.621 6.621 Å, 90.00 90.00 90.00°
Space group F-43m (No. 216)
Unique sites:
Li: 0.000 0.000 0.000
Ag: 0.250 0.250 0.250
Bi: 0.000 0.000 0.500


Entry 9:
## Fe2HgP (GGA-PBE)

Data for a relaxed Fe2HgP crystal.

Values from the calculation:
- Formation energy from the elements: 0.039 eV per atom
- Excess energy over the best structure of this formula in the dataset: 0.0 kJ per mole of atoms

Cell: 3.3944 3.3944 17.8952 Å, 90.00 90.00 120.00°
Space group R-3m (No. 166, hexagonal axes)
Unique sites:
Fe: 0.0000 0.0000 0.2195
Hg: 0.0000 0.0000 0.0000
P: 0.0000 0.0000 0.5000


Entry 10:
## Cr2SiGe2 (GGA-PBE)

Data for a relaxed Cr2SiGe2 crystal.

Values from the calculation:
- Raw formation energy: 13.0 kJ/mol of atoms

Cell: 6.289 6.289 3.575 Å, 90.00 90.00 90.00°
Space group P4/mbm (No. 127)
Unique sites:
Cr: 0.153 0.347 0.000
Si: 0.000 0.000 0.000
Ge: 0.150 0.650 0.500


Entry 11:
## HfThSb (GGA-PBE)

Data for a relaxed HfThSb crystal.

Values from the calculation:
- Raw formation energy: -17.4 kJ/mol of atoms

Cell: 5.0145 5.0145 3.7357 Å, 90.00 90.00 120.00°
Space group P-6m2 (No. 187)
Unique sites:
Hf: 0.0000 0.0000 0.0000
Th: 0.6667 0.3333 0.5000
Sb: 0.3333 0.6667 0.0000


Entry 12:
## Mg3In2Pb8 (GGA-PBE)

Data for a relaxed Mg3In2Pb8 crystal.

Values from the calculation:
- Formation energy from the elements: 0.026 eV per atom

Cell: 10.241 15.329 5.129 Å, 90.00 90.00 90.00°
Space group Cmmm (No. 65)
Unique sites:
Mg: 0.000 0.000 0.000
Mg: 0.240 0.000 0.500
In: 0.000 0.252 0.000
Pb: 0.000 0.131 0.500
Pb: 0.000 0.383 0.500
Pb: 0.245 0.379 0.000


Entry 13:
## RbLa2AgSe (GGA-PBE)

Data for a relaxed RbLa2AgSe crystal.

Values from the calculation:
- Raw formation energy: -17.6 kJ/mol of atoms

Cell: 5.834 5.834 5.379 Å, 90.00 90.00 90.00°
Space group P4/mmm (No. 123)
Unique sites:
Rb: 0.000 0.000 0.000
La: 0.000 0.500 0.500
Ag: 0.500 0.500 0.000
Se: 0.500 0.500 0.500


Entry 14:
## Li4CuRe2 (GGA-PBE)

Data for a relaxed Li4CuRe2 crystal.

Values from the calculation:
- Formation energy from the elements: 1.062 eV per atom

Cell: 4.431 4.431 13.217 Å, 90.00 90.00 90.00°
Space group I4/mmm (No. 139)
Unique sites:
Li: 0.000 0.000 0.184
Li: 0.000 0.500 0.000
Cu: 0.000 0.000 0.000
Re: 0.000 0.000 0.416


Entry 15:
## LuThSb (GGA-PBE)

Data for a relaxed LuThSb crystal.

Values from the calculation:
- Raw formation energy: -49.5 kJ/mol of atoms

Cell: 3.942 3.942 11.199 Å, 90.00 90.00 90.00°
Space group I4mm (No. 107)
Unique sites:
Lu: 0.000 0.000 0.000
Th: 0.000 0.000 0.695
Sb: 0.000 0.000 0.364


Entry 16:
## Pu3SeI7 (GGA-PBE)

Data for a relaxed Pu3SeI7 crystal.

Values from the calculation:
- Raw formation energy: -107.9 kJ/mol of atoms

Cell: 8.8687 8.8687 7.3838 Å, 90.00 90.00 120.00°
Space group P3m1 (No. 156)
Unique sites:
Pu: 0.0119 0.5060 0.0000
Se: 0.3333 0.6667 0.8154
I: 0.1682 0.3364 0.2459
I: 0.3391 0.1695 0.7675
I: 0.6667 0.3333 0.2465


Entry 17:
## Al3TcI (GGA-PBE)

Data for a relaxed Al3TcI crystal.

Values from the calculation:
- Raw formation energy: 31.6 kJ/mol of atoms
- Excess energy over the best structure of this formula in the dataset: 0.0 kJ per mole of atoms

Cell: 4.920 4.920 4.920 Å, 90.00 90.00 90.00°
Space group Pm-3m (No. 221)
Unique sites:
Al: 0.000 0.000 0.500
Tc: 0.000 0.000 0.000
I: 0.500 0.500 0.500


Entry 18:
## AgIrBr2 (GGA-PBE)

Data for a relaxed AgIrBr2 crystal.

Values from the calculation:
- Raw formation energy: 69.9 kJ/mol of atoms
- Excess energy over the best structure of this formula in the dataset: 53.0 kJ per mole of atoms

Cell: 3.736 3.736 14.107 Å, 90.00 90.00 90.00°
Space group I-4m2 (No. 119)
Unique sites:
Ag: 0.000 0.000 0.000
Ir: 0.000 0.500 0.250
Br: 0.000 0.000 0.500
Br: 0.000 0.500 0.750


Entry 19:
## H2OsBr8 (GGA-PBE)

Data for a relaxed H2OsBr8 crystal.

Values from the calculation:
- Total DFT energy (no corrections): -2.95 eV per atom

Cell: 11.039 7.774 9.494 Å, 90.00 117.87 90.00°
Space group C2/m (No. 12)
Unique sites:
H: 0.208 0.000 0.456
Os: 0.000 0.000 0.000
Br: 0.022 0.000 0.749
Br: 0.147 0.500 0.426
Br: 0.177 0.224 0.112


Entry 20:
## Pr3SbO2 (GGA-PBE)

Data for a relaxed Pr3SbO2 crystal.

Values from the calculation:
- Raw formation energy: -208.0 kJ/mol of atoms

Cell: 4.763 4.763 12.117 Å, 90.00 90.00 90.00°
Space group I4/mmm (No. 139)
Unique sites:
Pr: 0.000 0.000 0.000
Pr: 0.000 0.500 0.250
Sb: 0.000 0.000 0.500
O: 0.000 0.000 0.201


Entry 21:
## AcCe2Mg (GGA-PBE)

Data for a relaxed AcCe2Mg crystal.

Values from the calculation:
- Formation energy from the elements: 0.152 eV per atom
- Excess energy over the best structure of this formula in the dataset: 1.4 kJ per mole of atoms

Cell: 4.929 4.929 5.250 Å, 90.00 90.00 90.00°
Space group P4/mmm (No. 123)
Unique sites:
Ac: 0.000 0.000 0.000
Ce: 0.000 0.500 0.500
Mg: 0.500 0.500 0.000


Entry 22:
## PmYCd (GGA-PBE)

Data for a relaxed PmYCd crystal.

Values from the calculation:
- Formation energy from the elements: -0.083 eV per atom
- Excess energy over the best structure of this formula in the dataset: 11.9 kJ per mole of atoms

Cell: 5.2976 5.2976 3.6456 Å, 90.00 90.00 120.00°
Space group P3m1 (No. 156)
Unique sites:
Pm: 0.0000 0.0000 0.0000
Y: 0.6667 0.3333 0.4394
Cd: 0.3333 0.6667 0.6855


Entry 23:
## Tb2MnS4 (GGA-PBE)

Data for a relaxed Tb2MnS4 crystal.

Values from the calculation:
- Raw formation energy: -155.6 kJ/mol of atoms
- Excess energy over the best structure of this formula in the dataset: 1.6 kJ per mole of atoms

Cell: 3.808 12.406 12.893 Å, 90.00 90.00 90.00°
Space group Cmc2_1 (No. 36)
Unique sites:
Tb: 0.000 0.119 0.000
Tb: 0.000 0.362 0.796
Mn: 0.000 0.374 0.161
S: 0.000 0.012 0.208
S: 0.000 0.259 0.610
S: 0.000 0.292 0.349
S: 0.000 0.461 0.984


Entry 24:
## CsTiZn2Br8 (GGA-PBE)

Data for a relaxed CsTiZn2Br8 crystal.

Values from the calculation:
- Raw formation energy: -107.1 kJ/mol of atoms

Cell: 6.6886 6.6886 32.5699 Å, 90.00 90.00 120.00°
Space group R-3 (No. 148, hexagonal axes)
Unique sites:
Cs: 0.0000 0.0000 0.0000
Ti: 0.0000 0.0000 0.5000
Zn: 0.0000 0.0000 0.2365
Br: 0.0000 0.0000 0.3094
Br: 0.0109 0.6531 0.2131


Entry 25:
## La8Tm2Mg (GGA-PBE)

Data for a relaxed La8Tm2Mg crystal.

Values from the calculation:
- Formation energy from the elements: 0.007 eV per atom
- Excess energy over the best structure of this formula in the dataset: 0.0 kJ per mole of atoms

Cell: 18.566 5.168 8.192 Å, 90.00 105.30 90.00°
Space group C2/m (No. 12)
Unique sites:
La: 0.046 0.000 0.225
La: 0.093 0.500 0.954
La: 0.138 0.000 0.684
La: 0.179 0.500 0.411
Tm: 0.227 0.000 0.134
Mg: 0.000 0.500 0.500